[1]
YAlCuPt2 | the Alexandria database | PBE | relaxed; uncorrected energy = -6.161 eV/atom; density = 10.45 Mg/m³; space-group type = I-4m2
1.0
3.8136 0.0000 0.0000
0.0000 3.8136 0.0000
-1.9068 -1.9068 6.2250
Al Cu Y Pt
1 1 1 2
Direct
0.7500 0.2500 0.5000
0.2500 0.7500 0.5000
0.0000 0.0000 0.0000
0.3899 0.3899 0.7798
0.6101 0.6101 0.2202

---

[2]
MgSc6In | the Alexandria database | PBE | relaxed; density = 3.60 Mg/m³; space-group type = P4/mmm; energy above the lowest structure with this stoichiometry = 0 meV/atom
1.0
4.5353 0.0000 0.0000
0.0000 4.5353 0.0000
0.0000 0.0000 9.1660
Sc Mg In
6 1 1
Direct
0.0000 0.5000 0.2462
0.5000 0.0000 0.7538
0.5000 0.5000 0.0000
0.5000 0.0000 0.2462
0.5000 0.5000 0.5000
0.0000 0.5000 0.7538
0.0000 0.0000 0.5000
0.0000 0.0000 0.0000

---

- What is the density in the second record?
  3.60 Mg/m³